! Ca2ThRuN4 (GGA-PBE, optimized geometry); values from VASP
&SYSTEM
  ibrav = 0, nat = 16, ntyp = 4
/
ATOMIC_SPECIES
N 14.01 N.upf
Ca 40.08 Ca.upf
Th 232.04 Th.upf
Ru 101.07 Ru.upf
ATOMIC_POSITIONS crystal
N 0.431 0.863 0.750
N 0.000 0.000 0.000
N 0.276 0.551 0.361
N 0.724 0.449 0.639
N 0.276 0.551 0.139
N 0.724 0.449 0.861
N 0.569 0.137 0.250
N 0.000 0.000 0.500
Ca 0.630 0.259 0.461
Ca 0.370 0.741 0.539
Ca 0.630 0.259 0.039
Ca 0.370 0.741 0.961
Th 0.882 0.764 0.250
Th 0.118 0.236 0.750
Ru 0.852 0.704 0.750
Ru 0.148 0.296 0.250
CELL_PARAMETERS angstrom
3.491 0.000 0.000
-1.746 5.789 0.000
0.000 0.000 11.813
! total moment	0.000	μB per atom
! ΔE_f (raw)	-672	meV/atom
! V	14.9	A^3/atom
! total DFT energy (no corrections)	-118.748	eV per cell
! symmetry	Cmcm